(one)
DFT (PBE-GGA) results for a geometry-optimized Ge3TeCl structure.

Summary:
density = 4.82 Mg/m³

Lattice parameters (Å, degrees): 5.081 5.081 5.081 90.00 90.00 90.00
Sites, in units of the cell vectors:
1 Ge 0.500 0.000 0.000
2 Ge 0.000 0.500 0.000
3 Ge 0.000 0.000 0.500
4 Cl 0.000 0.000 0.000
5 Te 0.500 0.500 0.500

***

(two)
DFT (PBE-GGA) results for a geometry-optimized Ge3TeCl structure.

Summary:
density = 3.65 Mg/m³

Lattice parameters (Å, degrees): 5.578 5.578 5.578 90.00 90.00 90.00
Sites, in units of the cell vectors:
1 Ge 0.000 0.000 0.500
2 Ge 0.500 0.000 0.000
3 Ge 0.000 0.500 0.000
4 Cl 0.500 0.500 0.500
5 Te 0.000 0.000 0.000

***

Relative to the most stable one, in meV/atom, the structures come out at (one) 0; (two) 104.

***

(one)
DFT (PBE-GGA) results for a geometry-optimized GeTeCl2 structure.

Summary:
density = 3.26 Mg/m³

Lattice parameters (Å, degrees): 12.650 12.650 12.650 16.24 16.24 16.24
Last column: magnetic moment on the atom in μB.
Sites, in units of the cell vectors:
1 Cl 0.878 0.878 0.878  0.00
2 Cl 0.122 0.122 0.122  0.00
3 Te 0.000 0.000 0.000  0.20
4 Ge 0.500 0.500 0.500  0.00

***

(two)
DFT (PBE-GGA) results for a geometry-optimized GeTeCl2 structure.

Summary:
density = 2.67 Mg/m³

Lattice parameters (Å, degrees): 6.069 6.656 16.687 89.92 90.00 90.04
Sites, in units of the cell vectors:
1 Cl 0.811 0.949 0.597
2 Cl 0.812 0.450 0.403
3 Cl 0.312 0.049 0.097
4 Cl 0.189 0.051 0.403
5 Cl 0.188 0.550 0.597
6 Cl 0.688 0.951 0.903
7 Cl 0.689 0.449 0.097
8 Cl 0.311 0.551 0.903
9 Te 0.251 0.503 0.250
10 Te 0.751 0.997 0.250
11 Te 0.249 0.003 0.750
12 Te 0.749 0.497 0.750
13 Ge 0.500 0.750 0.826
14 Ge 0.000 0.750 0.674
15 Ge 0.000 0.250 0.326
16 Ge 0.500 0.250 0.174

***

(three)
DFT (PBE-GGA) results for a geometry-optimized GeTeCl2 structure.

Summary:
density = 4.69 Mg/m³

Lattice parameters (Å, degrees): 10.057 10.057 10.057 19.18 19.18 19.18
Sites, in units of the cell vectors:
1 Cl 0.083 0.083 0.083
2 Cl 0.917 0.917 0.917
3 Te 0.500 0.500 0.500
4 Ge 0.000 0.000 0.000

***

(four)
DFT (PBE-GGA) results for a geometry-optimized GeTeCl2 structure.

Summary:
density = 4.76 Mg/m³

Lattice parameters (Å, degrees): 5.115 5.115 5.115 60.00 60.00 60.00
Sites, in units of the cell vectors:
1 Cl 0.750 0.750 0.750
2 Cl 0.250 0.250 0.250
3 Te 0.500 0.500 0.500
4 Ge 0.000 0.000 0.000

***

Relative to the most stable one, in meV/atom, the structures come out at (one) 292; (two) 0; (three) 612; (four) 831.

***

(one)
DFT (PBE-GGA) results for a geometry-optimized GeTeCl structure.

Summary:
density = 5.54 Mg/m³

Lattice parameters (Å, degrees): 3.234 5.021 5.021 120.00 90.00 90.00
Sites, in units of the cell vectors:
1 Te 0.755 0.667 0.333
2 Cl 0.235 0.333 0.667
3 Ge 0.010 0.000 0.000

***

(two)
DFT (PBE-GGA) results for a geometry-optimized GeTeCl structure.

Summary:
density = 3.45 Mg/m³

Lattice parameters (Å, degrees): 5.828 7.323 9.076 113.20 134.88 55.66
Sites, in units of the cell vectors:
1 Ge 0.171 0.183 0.119
2 Ge 0.997 0.504 0.485
3 Te 0.098 0.609 0.275
4 Te 0.647 0.249 0.548
5 Cl 0.156 0.758 0.756
6 Cl 0.750 0.172 0.089

***

(three)
DFT (PBE-GGA) results for a geometry-optimized GeTeCl structure.

Summary:
density = 3.67 Mg/m³

Lattice parameters (Å, degrees): 7.202 7.202 6.479 75.64 75.64 41.23
Sites, in units of the cell vectors:
1 Te 0.626 0.626 0.168
2 Te 0.374 0.374 0.832
3 Ge 0.168 0.168 0.984
4 Ge 0.832 0.832 0.016
5 Cl 0.101 0.101 0.702
6 Cl 0.899 0.899 0.298

***

(four)
DFT (PBE-GGA) results for a geometry-optimized GeTeCl structure.

Summary:
density = 4.04 Mg/m³

Lattice parameters (Å, degrees): 6.016 5.363 6.671 108.46 79.59 79.31
Sites, in units of the cell vectors:
1 Te 0.536 0.490 0.073
2 Te 0.910 0.701 0.968
3 Ge 0.740 0.003 0.709
4 Ge 0.706 0.189 0.332
5 Cl 0.400 0.869 0.703
6 Cl 0.046 0.323 0.338

***

Relative to the most stable one, in meV/atom, the structures come out at (one) 354; (two) 36; (three) 13; (four) 0.